An optimized crystal structure of Sm2Zn3Ag5. Source: Alexandria via LeMat-Bulk, functional PBE.

The space group is Ibam (No. 72) and the conventional cell measures 11.868, 11.942 and 5.860 Å, with angles of 90.00, 90.00 and 90.00 degrees. Symmetry generates all atoms from Sm at (0.132, 0.232, 0.000), Zn at (0.000, 0.500, 0.250), Zn at (0.131, 0.131, 0.500), Ag at (0.000, 0.000, 0.250), Ag at (0.105, 0.344, 0.500) and Ag at (0.238, 0.500, 0.250).

The value obtained for the density of states at the Fermi level is 0.594 states/eV/atom. Its formation energy is -185 meV per atom. Its total moment is 0.000 μB per formula unit.


An optimized crystal structure of Sm2Zn16Ag. Source: Alexandria via LeMat-Bulk, functional PBE.

The space group is R3m (No. 160, hexagonal axes) and the conventional cell measures 9.0453, 9.0453 and 13.2704 Å, with angles of 90.00, 90.00 and 120.00 degrees. Symmetry generates all atoms from Sm at (0.0000, 0.0000, 0.0000), Sm at (0.0000, 0.0000, 0.3254), Zn at (0.0000, 0.0000, 0.7680), Zn at (0.9999, 0.2949, 0.6626), Zn at (0.0089, 0.5044, 0.8151), Zn at (0.1676, 0.3352, 0.4960), Zn at (0.1720, 0.3440, 0.8437) and Ag at (0.0000, 0.0000, 0.5647).

The value obtained for the density of states at the Fermi level is 0.291 states/eV/atom. Its formation energy is -248 meV per atom. Its total moment is 0.000 μB per formula unit.


An optimized crystal structure of Sm4ZnAg. Source: Alexandria via LeMat-Bulk, functional PBE.

The space group is P4/mmm (No. 123) and the conventional cell measures 3.650, 3.650 and 12.667 Å, with angles of 90.00, 90.00 and 90.00 degrees. Symmetry generates all atoms from Sm at (0.000, 0.000, 0.143), Sm at (0.500, 0.500, 0.349), Zn at (0.500, 0.500, 0.000) and Ag at (0.000, 0.000, 0.500).

The value obtained for the density of states at the Fermi level is 1.331 states/eV/atom. Its formation energy is -176 meV per atom. Its total moment is 0.628 μB per formula unit.